Entry 1:
VASP calculation (PBE-GGA) on a geometry-optimized Sc6SiSe2S3 structure.

Cell lengths 6.560, 6.560, 6.548 Å; angles 99.63, 99.63, 119.97 degrees
Element x y z (fractional)
1 Sc 0.231 0.231 0.740
2 Sc 0.087 0.404 0.261
3 Sc 0.769 0.769 0.260
4 Sc 0.404 0.087 0.261
5 Sc 0.596 0.913 0.739
6 Sc 0.913 0.596 0.739
7 Se 0.666 0.334 0.000
8 Se 0.334 0.666 0.000
9 S 0.500 0.500 0.500
10 S 0.829 0.171 0.500
11 S 0.171 0.829 0.500
12 Si 0.000 0.000 0.000

## Properties
E_form (uncorrected) = -1.618 eV/atom
DOS(E_F) = 6.30 states/eV per cell

---

Entry 2:
VASP calculation (PBE-GGA) on a geometry-optimized Sm2Sc2Se2S3 structure.

Cell lengths 4.805, 4.805, 9.850 Å; angles 104.12, 104.12, 90.00 degrees
Element x y z (fractional)
1 Se 0.406 0.406 0.812
2 Se 0.594 0.594 0.188
3 Sm 0.177 0.177 0.354
4 Sm 0.823 0.823 0.646
5 S 0.750 0.250 0.500
6 S 0.000 0.000 0.000
7 S 0.250 0.750 0.500
8 Sc 0.500 0.000 0.000
9 Sc 0.000 0.500 0.000

## Properties
E_form (uncorrected) = -1.611 eV/atom
DOS(E_F) = 6.02 states/eV per cell

---

Entry 3:
VASP calculation (PBE-GGA) on a geometry-optimized Sm2ScSe2S2 structure.

Cell lengths 4.782, 4.782, 8.175 Å; angles 107.01, 107.01, 90.00 degrees
Element x y z (fractional)
1 Se 0.819 0.819 0.637
2 Se 0.181 0.181 0.363
3 Sm 0.373 0.373 0.747
4 Sm 0.627 0.627 0.253
5 S 0.500 0.000 0.000
6 S 0.000 0.500 0.000
7 Sc 0.000 0.000 0.000

## Properties
E_form (uncorrected) = -1.689 eV/atom
DOS(E_F) = 2.35 states/eV per cell

---

Entry 4:
VASP calculation (PBE-GGA) on a geometry-optimized Tb2Sc2Se2S3 structure.

Cell lengths 4.801, 4.801, 9.625 Å; angles 104.44, 104.44, 90.00 degrees
Element x y z (fractional)
1 Tb 0.180 0.180 0.359
2 Tb 0.820 0.820 0.641
3 Sc 0.000 0.500 0.000
4 Sc 0.500 0.000 0.000
5 S 0.750 0.250 0.500
6 S 0.000 0.000 0.000
7 S 0.250 0.750 0.500
8 Se 0.404 0.404 0.809
9 Se 0.596 0.596 0.191

## Properties
E_form (uncorrected) = -1.592 eV/atom
DOS(E_F) = 5.81 states/eV per cell

---

Entry 5:
VASP calculation (PBE-GGA) on a geometry-optimized Sc8Te4Se3S structure.

Cell lengths 7.953, 8.041, 7.953 Å; angles 119.63, 120.00, 90.00 degrees
Element x y z (fractional)
1 Te 0.000 0.000 0.500
2 Te 0.500 0.000 0.000
3 Te 0.500 0.000 0.500
4 Te 0.000 0.000 0.000
5 Sc 0.774 0.294 0.020
6 Sc 0.262 0.288 0.525
7 Sc 0.226 0.706 0.980
8 Sc 0.738 0.712 0.475
9 Sc 0.245 0.294 0.020
10 Sc 0.225 0.706 0.451
11 Sc 0.775 0.294 0.549
12 Sc 0.755 0.706 0.980
13 Se 0.000 0.500 0.500
14 Se 0.500 0.500 0.500
15 Se 0.500 0.500 0.000
16 S 0.000 0.500 0.000

## Properties
E_form (uncorrected) = -1.408 eV/atom
DOS(E_F) = 8.43 states/eV per cell

---

Entry 6:
VASP calculation (PBE-GGA) on a geometry-optimized Sc6Te3SeS2 structure.

Cell lengths 6.796, 6.796, 6.952 Å; angles 99.36, 99.36, 120.03 degrees
Element x y z (fractional)
1 S 0.333 0.667 0.000
2 S 0.667 0.333 0.000
3 Sc 0.716 0.716 0.199
4 Sc 0.284 0.284 0.801
5 Sc 0.068 0.418 0.203
6 Sc 0.932 0.582 0.797
7 Sc 0.418 0.068 0.203
8 Sc 0.582 0.932 0.797
9 Te 0.162 0.838 0.500
10 Te 0.838 0.162 0.500
11 Te 0.500 0.500 0.500
12 Se 0.000 0.000 0.000

## Properties
E_form (uncorrected) = -1.468 eV/atom
DOS(E_F) = 5.99 states/eV per cell

---

Entry 7:
VASP calculation (PBE-GGA) on a geometry-optimized Sc6Tl3SeS2 structure.

Cell lengths 6.311, 6.311, 7.866 Å; angles 97.66, 97.66, 120.02 degrees
Element x y z (fractional)
1 S 0.667 0.333 0.000
2 S 0.333 0.667 0.000
3 Sc 0.410 0.067 0.201
4 Sc 0.590 0.933 0.799
5 Sc 0.933 0.590 0.799
6 Sc 0.721 0.721 0.199
7 Sc 0.279 0.279 0.801
8 Sc 0.067 0.410 0.201
9 Tl 0.838 0.162 0.500
10 Tl 0.162 0.838 0.500
11 Tl 0.500 0.500 0.500
12 Se 0.000 0.000 0.000

## Properties
E_form (uncorrected) = -1.050 eV/atom
DOS(E_F) = 7.93 states/eV per cell

---

Entry 8:
VASP calculation (PBE-GGA) on a geometry-optimized ScTlSeS structure.

Cell lengths 3.876, 3.876, 8.036 Å; angles 90.00, 103.96, 120.00 degrees
Element x y z (fractional)
1 Se 0.100 0.948 0.064
2 Tl 0.967 0.382 0.363
3 Sc 0.297 0.546 0.858
4 S 0.514 0.155 0.684

## Properties
E_form (uncorrected) = -1.297 eV/atom